[1]
DFT (PBE-GGA) results for PmGdCoIr after structural relaxation.

Computed properties:
Formation energy: -1.5 eV/f.u.
Total magnetization: 30.133 μB per cell

Geometry as CIF:
```
data_PmGdCoIr
_space_group_name_H-M_alt 'F -4 3 m'
_space_group_IT_number 216
_space_group_name_Hall 'F -4 2 3'
_cell_length_a 6.9143
_cell_length_b 6.9143
_cell_length_c 6.9143
_cell_angle_alpha 90.00
_cell_angle_beta 90.00
_cell_angle_gamma 90.00
loop_
_atom_site_label
_atom_site_fract_x
_atom_site_fract_y
_atom_site_fract_z
Pm1 0.0000 0.0000 0.0000
Gd1 0.0000 0.0000 0.5000
Co1 0.2500 0.2500 0.7500
Ir1 0.2500 0.2500 0.2500
```

=====

[2]
DFT (PBE-GGA) results for HfPbNF2 after structural relaxation.

Computed properties:
Excess energy over the best structure of this formula in the dataset: 0 meV per atom
Formation energy from raw total energies: -1.723 eV per atom
Total magnetization: 0.000 μB per cell

Geometry as CIF:
```
data_HfPbNF2
_space_group_name_H-M_alt 'P 4/m m m'
_space_group_IT_number 123
_space_group_name_Hall '-P 4 2'
_cell_length_a 4.3084
_cell_length_b 4.3084
_cell_length_c 4.2265
_cell_angle_alpha 90.00
_cell_angle_beta 90.00
_cell_angle_gamma 90.00
loop_
_atom_site_label
_atom_site_fract_x
_atom_site_fract_y
_atom_site_fract_z
Hf1 0.0000 0.0000 0.0000
Pb1 0.5000 0.5000 0.5000
N1 0.0000 0.0000 0.5000
F1 0.0000 0.5000 0.0000
```

=====

[3]
DFT (PBE-GGA) results for Hf2GaSe after structural relaxation.

Computed properties:
Excess energy over the best structure of this formula in the dataset: 0 meV per atom
Formation energy from raw total energies: -0.610 eV per atom
Total magnetization: 0.000 μB per cell

Geometry as CIF:
```
data_Hf2GaSe
_space_group_name_H-M_alt 'R -3 m'
_space_group_IT_number 166
_space_group_name_Hall '-R 3 2"'
_cell_length_a 3.8496
_cell_length_b 3.8496
_cell_length_c 18.9503
_cell_angle_alpha 90.00
_cell_angle_beta 90.00
_cell_angle_gamma 120.00
loop_
_atom_site_label
_atom_site_fract_x
_atom_site_fract_y
_atom_site_fract_z
Hf1 0.0000 0.0000 0.2439
Ga1 0.0000 0.0000 0.5000
Se1 0.0000 0.0000 0.0000
```